La2ZnCd PBE-GGA optimized geometry; formation enthalpy at 0 K = -12.0 kJ per mole of atoms
1.0
1.8843 1.0879 9.8944
-1.8843 1.0879 9.8944
0.0000 -2.1759 9.8944
La Zn Cd
2 1 1
Direct
0.2447 0.2447 0.2447
0.7553 0.7553 0.7553
0.5000 0.5000 0.5000
0.0000 0.0000 0.0000